Crystalline ScTe2Se at its relaxed geometry. Source: Alexandria, functional GGA-PBE.

Lattice parameters (Å, degrees): 5.252 5.252 5.174 108.80 108.80 109.99
Positions (direct):
Sc (0.000, 0.000, 0.000)
Te (0.000, 0.500, 0.500)
Te (0.500, 0.000, 0.500)
Se (0.500, 0.500, 0.000)

## Properties
total magnetic moment	0.000	μB per atom
calculated volume	110.9	Å³/f.u.
uncorrected energy	-17.9	eV per cell
space-group type	C2/m, No. 12